First-principles (PBE-GGA) data for an optimized crystal structure of Nd2HoSe, as listed in Alexandria.

Cell: 3.896 3.896 29.169 Å, 90.00 90.00 120.00°
Fractional coordinates of all 12 atoms:
Nd1 0.000 0.000 0.233
Nd2 0.000 0.000 0.767
Nd3 0.333 0.667 0.433
Nd4 0.333 0.667 0.900
Nd5 0.667 0.333 0.100
Nd6 0.667 0.333 0.567
Ho1 0.000 0.000 0.000
Ho2 0.333 0.667 0.667
Ho3 0.667 0.333 0.333
Se1 0.000 0.000 0.500
Se2 0.333 0.667 0.167
Se3 0.667 0.333 0.833

## Properties
raw formation energy	-758	meV/atom
E	-5.16	eV per atom
total magnetization	0.16	μB per atom